(1)
Entry from Alexandria: a geometry-optimized ScMn2As structure (PBE-GGA).

abc: 3.1703 3.1703 23.2919
angles: 90.00 90.00 120.00
Space group R-3m (No. 166, hexagonal axes)
One atom of each set of equivalent atoms:
Sc1 0.0000 0.0000 0.0000 (multiplicity 3)
Mn1 0.0000 0.0000 0.2374 (multiplicity 6)
As1 0.0000 0.0000 0.5000 (multiplicity 3)

DOS at the Fermi energy (states/eV/f.u.): 3.54
Formation enthalpy at 0 K (eV/f.u.): 0.61
E_tot (eV for the cell shown): -86.14

---

(2)
Entry from Alexandria: a geometry-optimized ScMn3As structure (PBE-GGA).

abc: 4.656 4.656 4.656
angles: 90.00 90.00 90.00
Space group Pm-3m (No. 221)
One atom of each set of equivalent atoms:
Sc1 0.000 0.000 0.000 (multiplicity 1)
Mn1 0.000 0.000 0.500 (multiplicity 3)
As1 0.500 0.500 0.500 (multiplicity 1)

E above lowest polymorph (eV per formula unit): 5.10
DOS at the Fermi energy (states/eV/f.u.): 3.74
Formation enthalpy at 0 K (eV/f.u.): 6.66
E_tot (eV for the cell shown): -31.83

---

(3)
Entry from Alexandria: a geometry-optimized ScMnAs2 structure (PBE-GGA).

abc: 5.638 5.638 12.785
angles: 90.00 90.00 90.00
Space group I-42d (No. 122)
One atom of each set of equivalent atoms:
Sc1 0.000 0.000 0.000 (multiplicity 4)
Mn1 0.000 0.000 0.500 (multiplicity 4)
As1 0.217 0.250 0.625 (multiplicity 8)

E above lowest polymorph (eV per formula unit): 1.53
DOS at the Fermi energy (states/eV/f.u.): 2.29
Formation enthalpy at 0 K (eV/f.u.): -1.14
E_tot (eV for the cell shown): -103.76

---

(4)
Entry from Alexandria: a geometry-optimized ScMnAs2 structure (PBE-GGA).

abc: 4.527 4.527 6.883
angles: 90.00 90.00 90.00
Space group I4/mmm (No. 139)
One atom of each set of equivalent atoms:
Sc1 0.000 0.000 0.000 (multiplicity 2)
Mn1 0.000 0.000 0.500 (multiplicity 2)
As1 0.000 0.500 0.250 (multiplicity 4)

E above lowest polymorph (eV per formula unit): 1.28
DOS at the Fermi energy (states/eV/f.u.): 4.26
Formation enthalpy at 0 K (eV/f.u.): -1.39
E_tot (eV for the cell shown): -52.39

---

(5)
Entry from Alexandria: a geometry-optimized ScMnAs2 structure (PBE-GGA).

abc: 3.786 5.390 3.788
angles: 90.00 90.00 90.00
Space group Pmm2 (No. 25)
One atom of each set of equivalent atoms:
Sc1 0.000 0.000 0.000 (multiplicity 1)
Mn1 0.500 0.500 0.502 (multiplicity 1)
As1 0.000 0.500 0.002 (multiplicity 1)
As2 0.500 0.000 0.500 (multiplicity 1)

E above lowest polymorph (eV per formula unit): 0.00
DOS at the Fermi energy (states/eV/f.u.): 0.89
Formation enthalpy at 0 K (eV/f.u.): -2.67
E_tot (eV for the cell shown): -27.47

---

(6)
Entry from Alexandria: a geometry-optimized ScMnAs structure (PBE-GGA).

abc: 6.352 6.352 6.352
angles: 90.00 90.00 90.00
Space group F-43m (No. 216)
One atom of each set of equivalent atoms:
Sc1 0.000 0.000 0.000 (multiplicity 4)
Mn1 0.250 0.250 0.750 (multiplicity 4)
As1 0.250 0.250 0.250 (multiplicity 4)

DOS at the Fermi energy (states/eV/f.u.): 4.03
Formation enthalpy at 0 K (eV/f.u.): 0.31
E_tot (eV for the cell shown): -79.35

---

Total magnetic moment, record by record: 1.12; 1.99; 1.00; 0.87; 0.98; 1.38 μB per atom